Crystalline Sb2PIr at its relaxed geometry, computed with PBE.

**Uncorrected formation energy**: 0.4 eV/f.u.
**M_tot**: 0.00 μB/cell
**Space-group type**: R-3m (166)
**Total energy**: -5.535 eV/atom

Geometry as POSCAR:
```
Sb2PIr
1.0
3.783 0.000 0.000
-1.892 3.276 0.000
0.000 0.000 20.144
Sb P Ir
6 3 3
Cartesian
0.000 0.000 4.958
0.000 0.000 15.186
0.000 2.184 8.471
0.000 2.184 18.387
1.892 1.092 1.757
1.892 1.092 11.672
0.000 0.000 0.000
0.000 2.184 13.429
1.892 1.092 6.715
0.000 0.000 10.072
0.000 2.184 3.357
1.892 1.092 16.786
```